# KSr5 (SCAN, single point on PBEsol structure)
data_KSr5
_chemical_formula_sum 'K1 Sr5'
_cell_length_a 6.9522
_cell_length_b 11.2897
_cell_length_c 11.2897
_cell_angle_alpha 21.59
_cell_angle_beta 90.00
_cell_angle_gamma 90.00
_symmetry_space_group_name_H-M 'P 1'
_symmetry_Int_Tables_number 1
_symmetry_space_group_name_Hall 'P 1'
loop_
_atom_site_label
_atom_site_fract_x
_atom_site_fract_y
_atom_site_fract_z
K1 0.0000 0.0000 0.0000
Sr1 0.0000 0.3298 0.3298
Sr2 0.0000 0.6689 0.6689
Sr3 0.5000 0.1133 0.1133
Sr4 0.5000 0.4414 0.4414
Sr5 0.5000 0.7768 0.7768
# Density (Mg/m³): 2.430
# Energy (eV per atom): -19.891
# E_form (eV/atom): 0.059